# 1
# Ac3Pr4NdS8 | Alexandria via LeMat-Bulk | GGA-PBE | relaxed
# DFT total energy = -101.34 eV/cell
# raw formation energy = -2006.7 meV per atom
# magnetic moment = 0.0000 μB per atom
# SG = R-3m, No. 166
data_Ac3Pr4NdS8
_cell_length_a 8.361
_cell_length_b 8.354
_cell_length_c 8.360
_cell_angle_alpha 120.02
_cell_angle_beta 120.00
_cell_angle_gamma 90.00
_symmetry_space_group_name_H-M 'P 1'
_symmetry_Int_Tables_number 1
loop_
_symmetry_equiv_pos_as_xyz
'x,y,z'
loop_
_atom_site_label
_atom_site_type_symbol
_atom_site_fract_x
_atom_site_fract_y
_atom_site_fract_z
Ac1 Ac 0.500 0.500 0.000
Ac2 Ac 0.500 0.500 0.500
Ac3 Ac 0.000 0.500 0.500
Pr1 Pr 0.500 0.000 0.000
Pr2 Pr 0.500 0.000 0.500
Pr3 Pr 0.000 0.000 0.000
Pr4 Pr 0.000 0.000 0.500
Nd1 Nd 0.000 0.500 0.000
S1 S 0.249 0.756 0.008
S2 S 0.249 0.756 0.498
S3 S 0.246 0.238 0.492
S4 S 0.759 0.756 0.008
S5 S 0.241 0.244 0.992
S6 S 0.754 0.762 0.508
S7 S 0.751 0.244 0.502
S8 S 0.751 0.244 0.992

***

# 2
# Pm8Dy6Mg | Alexandria via LeMat-Bulk | GGA-PBE | relaxed
# DFT total energy = -65.17 eV/cell
# magnetic moment = 0.0000 μB per atom
# energy of formation from the pure elements = 2.045 eV per formula unit
# SG = P-3, No. 147
data_Pm8Dy6Mg
_cell_length_a 6.487
_cell_length_b 9.376
_cell_length_c 9.376
_cell_angle_alpha 120.00
_cell_angle_beta 90.00
_cell_angle_gamma 90.00
_symmetry_space_group_name_H-M 'P 1'
_symmetry_Int_Tables_number 1
loop_
_symmetry_equiv_pos_as_xyz
'x,y,z'
loop_
_atom_site_label
_atom_site_type_symbol
_atom_site_fract_x
_atom_site_fract_y
_atom_site_fract_z
Pm1 Pm 0.823 0.038 0.274
Pm2 Pm 0.823 0.726 0.764
Pm3 Pm 0.823 0.236 0.962
Pm4 Pm 0.177 0.962 0.726
Pm5 Pm 0.177 0.274 0.236
Pm6 Pm 0.177 0.764 0.038
Pm7 Pm 0.859 0.333 0.667
Pm8 Pm 0.141 0.667 0.333
Dy1 Dy 0.667 0.649 0.094
Dy2 Dy 0.667 0.906 0.555
Dy3 Dy 0.667 0.445 0.351
Dy4 Dy 0.333 0.351 0.906
Dy5 Dy 0.333 0.094 0.445
Dy6 Dy 0.333 0.555 0.649
Mg1 Mg 0.500 0.000 0.000

***

# 3
# MnNi2Mo | Alexandria via LeMat-Bulk | GGA-PBE | relaxed
# DFT total energy = -30.89 eV/cell
# magnetic moment = 0.7211 μB per atom
# energy of formation from the pure elements = 0.670 eV per formula unit
# excess energy over the best structure of this formula in the dataset = 205 meV/atom
# SG = R3m, No. 160
data_MnNi2Mo
_cell_length_a 8.615
_cell_length_b 8.615
_cell_length_c 8.615
_cell_angle_alpha 17.54
_cell_angle_beta 17.54
_cell_angle_gamma 17.54
_symmetry_space_group_name_H-M 'P 1'
_symmetry_Int_Tables_number 1
loop_
_symmetry_equiv_pos_as_xyz
'x,y,z'
loop_
_atom_site_label
_atom_site_type_symbol
_atom_site_fract_x
_atom_site_fract_y
_atom_site_fract_z
Mn1 Mn 0.505 0.505 0.505
Mo1 Mo 0.748 0.748 0.748
Ni1 Ni 0.997 0.997 0.997
Ni2 Ni 0.250 0.250 0.250

***

# 4
# Na2SrTeS4 | Alexandria via LeMat-Bulk | GGA-PBE | relaxed
# DFT total energy = -63.27 eV/cell
# raw formation energy = -957.7 meV per atom
# magnetic moment = 0.0000 μB per atom
# SG = Imma, No. 74
data_Na2SrTeS4
_cell_length_a 8.209
_cell_length_b 8.209
_cell_length_c 8.414
_cell_angle_alpha 120.83
_cell_angle_beta 120.83
_cell_angle_gamma 89.97
_symmetry_space_group_name_H-M 'P 1'
_symmetry_Int_Tables_number 1
loop_
_symmetry_equiv_pos_as_xyz
'x,y,z'
loop_
_atom_site_label
_atom_site_type_symbol
_atom_site_fract_x
_atom_site_fract_y
_atom_site_fract_z
Na1 Na 0.500 0.000 0.000
Na2 Na 0.500 0.000 0.500
Na3 Na 0.000 0.000 0.500
Na4 Na 0.500 0.500 0.000
Sr1 Sr 0.000 0.500 0.000
Sr2 Sr 0.000 0.500 0.500
Te1 Te 0.500 0.500 0.500
Te2 Te 0.000 0.000 0.000
S1 S 0.236 0.773 0.005
S2 S 0.727 0.264 0.495
S3 S 0.273 0.736 0.505
S4 S 0.764 0.227 0.995
S5 S 0.746 0.754 0.974
S6 S 0.746 0.754 0.526
S7 S 0.254 0.246 0.474
S8 S 0.254 0.246 0.026

***

# 5
# BaTa2Pt | Alexandria via LeMat-Bulk | GGA-PBE | relaxed
# DFT total energy = -28.44 eV/cell
# magnetic moment = 0.0000 μB per atom
# energy of formation from the pure elements = 3.233 eV per formula unit
# excess energy over the best structure of this formula in the dataset = 676 meV/atom
# SG = I4/mmm, No. 139
data_BaTa2Pt
_cell_length_a 5.911
_cell_length_b 5.911
_cell_length_c 5.911
_cell_angle_alpha 138.73
_cell_angle_beta 138.73
_cell_angle_gamma 59.78
_symmetry_space_group_name_H-M 'P 1'
_symmetry_Int_Tables_number 1
loop_
_symmetry_equiv_pos_as_xyz
'x,y,z'
loop_
_atom_site_label
_atom_site_type_symbol
_atom_site_fract_x
_atom_site_fract_y
_atom_site_fract_z
Ba1 Ba 0.250 0.750 0.500
Pt1 Pt 0.750 0.250 0.500
Ta1 Ta 0.000 0.000 0.000
Ta2 Ta 0.500 0.500 0.000

***

# 6
# Ac2SmRh9 | Alexandria via LeMat-Bulk | GGA-PBE | relaxed
# DFT total energy = -84.51 eV/cell
# magnetic moment = 0.0000 μB per atom
# energy of formation from the pure elements = -5.411 eV per formula unit
# SG = R-3m, No. 166
data_Ac2SmRh9
_cell_length_a 5.369
_cell_length_b 5.369
_cell_length_c 9.590
_cell_angle_alpha 73.74
_cell_angle_beta 73.74
_cell_angle_gamma 60.00
_symmetry_space_group_name_H-M 'P 1'
_symmetry_Int_Tables_number 1
loop_
_symmetry_equiv_pos_as_xyz
'x,y,z'
loop_
_atom_site_label
_atom_site_type_symbol
_atom_site_fract_x
_atom_site_fract_y
_atom_site_fract_z
Ac1 Ac 0.862 0.862 0.413
Ac2 Ac 0.138 0.138 0.587
Sm1 Sm 0.000 0.000 0.000
Rh1 Rh 0.667 0.667 0.998
Rh2 Rh 0.333 0.333 0.002
Rh3 Rh 0.500 0.500 0.500
Rh4 Rh 0.422 0.422 0.237
Rh5 Rh 0.919 0.422 0.237
Rh6 Rh 0.422 0.919 0.237
Rh7 Rh 0.578 0.578 0.763
Rh8 Rh 0.578 0.081 0.763
Rh9 Rh 0.081 0.578 0.763

***

# 7
# LiLaInSn | Alexandria via LeMat-Bulk | GGA-PBE | relaxed
# DFT total energy = -15.58 eV/cell
# magnetic moment = 0.0000 μB per atom
# energy of formation from the pure elements = -1.994 eV per formula unit
# SG = Pmmm, No. 47
data_LiLaInSn
_cell_length_a 4.673
_cell_length_b 4.656
_cell_length_c 4.852
_cell_angle_alpha 90.00
_cell_angle_beta 90.00
_cell_angle_gamma 90.00
_symmetry_space_group_name_H-M 'P 1'
_symmetry_Int_Tables_number 1
loop_
_symmetry_equiv_pos_as_xyz
'x,y,z'
loop_
_atom_site_label
_atom_site_type_symbol
_atom_site_fract_x
_atom_site_fract_y
_atom_site_fract_z
Li1 Li 0.500 0.000 0.500
La1 La 0.500 0.500 0.000
In1 In 0.000 0.500 0.500
Sn1 Sn 0.000 0.000 0.000

***

# 8
# Ho12Ni5Pb | Alexandria via LeMat-Bulk | GGA-PBE | relaxed
# DFT total energy = -94.11 eV/cell
# magnetic moment = 0.0000 μB per atom
# energy of formation from the pure elements = -6.561 eV per formula unit
# SG = Immm, No. 71
data_Ho12Ni5Pb
_cell_length_a 8.302
_cell_length_b 8.302
_cell_length_c 8.302
_cell_angle_alpha 107.03
_cell_angle_beta 111.54
_cell_angle_gamma 109.88
_symmetry_space_group_name_H-M 'P 1'
_symmetry_Int_Tables_number 1
loop_
_symmetry_equiv_pos_as_xyz
'x,y,z'
loop_
_atom_site_label
_atom_site_type_symbol
_atom_site_fract_x
_atom_site_fract_y
_atom_site_fract_z
Ho1 Ho 0.526 0.819 0.707
Ho2 Ho 0.474 0.181 0.293
Ho3 Ho 0.888 0.181 0.707
Ho4 Ho 0.112 0.819 0.293
Ho5 Ho 0.694 0.679 0.373
Ho6 Ho 0.306 0.321 0.627
Ho7 Ho 0.306 0.679 0.985
Ho8 Ho 0.694 0.321 0.015
Ho9 Ho 0.808 0.597 0.789
Ho10 Ho 0.192 0.403 0.211
Ho11 Ho 0.192 0.981 0.789
Ho12 Ho 0.808 0.019 0.211
Ni1 Ni 0.635 0.635 0.000
Ni2 Ni 0.365 0.365 0.000
Ni3 Ni 0.500 0.123 0.623
Ni4 Ni 0.500 0.877 0.377
Ni5 Ni 0.000 0.000 0.000
Pb1 Pb 0.000 0.500 0.500

***

# 9
# AgIr2AuC | Alexandria via LeMat-Bulk | GGA-PBE | relaxed
# DFT total energy = -21.77 eV/cell
# magnetic moment = 0.4761 μB per atom
# energy of formation from the pure elements = 11.304 eV per formula unit
# SG = P4/mmm, No. 123
data_AgIr2AuC
_cell_length_a 5.139
_cell_length_b 3.720
_cell_length_c 5.139
_cell_angle_alpha 90.00
_cell_angle_beta 90.00
_cell_angle_gamma 90.00
_symmetry_space_group_name_H-M 'P 1'
_symmetry_Int_Tables_number 1
loop_
_symmetry_equiv_pos_as_xyz
'x,y,z'
loop_
_atom_site_label
_atom_site_type_symbol
_atom_site_fract_x
_atom_site_fract_y
_atom_site_fract_z
C1 C 0.000 0.500 0.000
Ir1 Ir 0.000 0.000 0.500
Ir2 Ir 0.500 0.000 0.000
Au1 Au 0.000 0.000 0.000
Ag1 Ag 0.500 0.500 0.500

***

# 10
# AlHgOs2 | Alexandria via LeMat-Bulk | GGA-PBE | relaxed
# DFT total energy = -24.86 eV/cell
# magnetic moment = 0.0000 μB per atom
# energy of formation from the pure elements = 1.642 eV per formula unit
# excess energy over the best structure of this formula in the dataset = 210 meV/atom
# SG = P4/mmm, No. 123
data_AlHgOs2
_cell_length_a 3.042
_cell_length_b 3.042
_cell_length_c 6.778
_cell_angle_alpha 90.00
_cell_angle_beta 90.00
_cell_angle_gamma 90.00
_symmetry_space_group_name_H-M 'P 1'
_symmetry_Int_Tables_number 1
loop_
_symmetry_equiv_pos_as_xyz
'x,y,z'
loop_
_atom_site_label
_atom_site_type_symbol
_atom_site_fract_x
_atom_site_fract_y
_atom_site_fract_z
Os1 Os 0.000 0.000 0.044
Os2 Os 0.000 0.000 0.456
Hg1 Hg 0.500 0.500 0.750
Al1 Al 0.500 0.500 0.250

***

# 11
# KMnMo2 | Alexandria via LeMat-Bulk | GGA-PBE | relaxed
# DFT total energy = -28.92 eV/cell
# magnetic moment = 0.9946 μB per atom
# energy of formation from the pure elements = 3.014 eV per formula unit
# excess energy over the best structure of this formula in the dataset = 0 meV/atom
# SG = P4mm, No. 99
data_KMnMo2
_cell_length_a 3.196
_cell_length_b 3.196
_cell_length_c 8.675
_cell_angle_alpha 90.00
_cell_angle_beta 90.00
_cell_angle_gamma 90.00
_symmetry_space_group_name_H-M 'P 1'
_symmetry_Int_Tables_number 1
loop_
_symmetry_equiv_pos_as_xyz
'x,y,z'
loop_
_atom_site_label
_atom_site_type_symbol
_atom_site_fract_x
_atom_site_fract_y
_atom_site_fract_z
K1 K 0.000 0.000 0.504
Mn1 Mn 0.500 0.500 0.835
Mo1 Mo 0.000 0.000 0.003
Mo2 Mo 0.500 0.500 0.157

***

# 12
# Ac3Al2Pb3 | Alexandria via LeMat-Bulk | GGA-PBE | relaxed
# DFT total energy = -67.37 eV/cell
# magnetic moment = 0.0000 μB per atom
# energy of formation from the pure elements = -2.749 eV per formula unit
# SG = Cmcm, No. 63
data_Ac3Al2Pb3
_cell_length_a 5.125
_cell_length_b 6.624
_cell_length_c 16.358
_cell_angle_alpha 90.00
_cell_angle_beta 90.00
_cell_angle_gamma 112.76
_symmetry_space_group_name_H-M 'P 1'
_symmetry_Int_Tables_number 1
loop_
_symmetry_equiv_pos_as_xyz
'x,y,z'
loop_
_atom_site_label
_atom_site_type_symbol
_atom_site_fract_x
_atom_site_fract_y
_atom_site_fract_z
Ac1 Ac 0.649 0.298 0.038
Ac2 Ac 0.351 0.702 0.538
Ac3 Ac 0.649 0.298 0.462
Ac4 Ac 0.351 0.702 0.962
Ac5 Ac 0.429 0.859 0.250
Ac6 Ac 0.571 0.141 0.750
Al1 Al 0.844 0.688 0.667
Al2 Al 0.156 0.312 0.167
Al3 Al 0.844 0.688 0.833
Al4 Al 0.156 0.312 0.333
Pb1 Pb 0.943 0.886 0.091
Pb2 Pb 0.057 0.114 0.591
Pb3 Pb 0.943 0.886 0.409
Pb4 Pb 0.057 0.114 0.909
Pb5 Pb 0.718 0.436 0.250
Pb6 Pb 0.282 0.564 0.750